# 1
The following is a DFT calculation (PBE) of a relaxed AlHg2Au crystal.

a = 2.9120 Å, b = 3.5413 Å, c = 8.2610 Å
α = 90.00°, β = 90.00°, γ = 90.00°
With the nearest neighbours (Å) after each atom.
Atoms (fractional coordinates):
1 Al 0.0000 0.0000 0.0000  4 Au 2.68, 2 Al 2.91
2 Hg 0.0000 0.0000 0.4437  2 Hg 2.91, 4 Au 3.23
3 Hg 0.5000 0.5000 0.7430  2 Hg 2.91, 4 Al 3.12
4 Au 0.5000 0.5000 0.1680  4 Al 2.68, 2 Au 2.91

Summary:
Formation energy in eV/atom: -0.0108
Magnetic moment in μB per cell: 0.0

# 2
The following is a DFT calculation (PBE) of a relaxed Al2Hg2Au crystal.

a = 6.8305 Å, b = 6.8305 Å, c = 4.4546 Å
α = 90.00°, β = 90.00°, γ = 90.00°
With the nearest neighbours (Å) after each atom.
Atoms (fractional coordinates):
1 Al 0.1431 0.3569 0.0000  2 Au 2.63, 1 Al 2.76, 2 Hg 2.87
2 Al 0.3569 0.8569 0.0000  2 Au 2.63, 1 Al 2.76, 2 Hg 2.87
3 Al 0.6431 0.1431 0.0000  2 Au 2.63, 1 Al 2.76, 2 Hg 2.87
4 Al 0.8569 0.6431 0.0000  2 Au 2.63, 1 Al 2.76, 2 Hg 2.87
5 Hg 0.1691 0.6691 0.5000  6 Al 2.87-3.09
6 Hg 0.3309 0.1691 0.5000  6 Al 2.87-3.09
7 Hg 0.6691 0.8309 0.5000  6 Al 2.87-3.09
8 Hg 0.8309 0.3309 0.5000  6 Al 2.87-3.09
9 Au 0.0000 0.0000 0.0000  4 Al 2.63
10 Au 0.5000 0.5000 0.0000  4 Al 2.63

Summary:
E above lowest polymorph in eV per atom: 0.000
Formation energy in eV/atom: -0.0032
Magnetic moment in μB per cell: 0.0

# 3
The following is a DFT calculation (PBE) of a relaxed AlHgAu2 crystal.

a = 3.1387 Å, b = 4.6115 Å, c = 5.2774 Å
α = 90.00°, β = 90.00°, γ = 90.00°
With the nearest neighbours (Å) after each atom.
Atoms (fractional coordinates):
1 Al 0.0000 0.0000 0.0000  4 Au 2.79, 4 Hg 3.07
2 Hg 0.5000 0.0000 0.5000  4 Au 2.79, 4 Al 3.07
3 Au 0.0000 0.5000 0.5000  4 Hg 2.79, 4 Au 3.07
4 Au 0.5000 0.5000 0.0000  4 Al 2.79, 4 Au 3.07

Summary:
E above lowest polymorph in eV per atom: 0.206
Formation energy in eV/atom: 0.0327
Magnetic moment in μB per cell: 0.0

# 4
The following is a DFT calculation (PBE) of a relaxed Al2HgAu crystal.

a = 8.7371 Å, b = 8.7371 Å, c = 8.7371 Å
α = 21.18°, β = 21.18°, γ = 21.18°
With the nearest neighbours (Å) after each atom.
Atoms (fractional coordinates):
1 Al 0.0000 0.0000 0.0000  3 Au 2.60, 3 Al 2.86
2 Al 0.2486 0.2486 0.2486  3 Hg 2.85, 3 Al 2.86
3 Hg 0.4975 0.4975 0.4975  3 Al 2.85, 3 Au 3.02
4 Au 0.7379 0.7379 0.7379  3 Al 2.60

Summary:
E above lowest polymorph in eV per atom: 0.098
Formation energy in eV/atom: -0.0127
Magnetic moment in μB per cell: 0.0

# 5
The following is a DFT calculation (PBE) of a relaxed Al2HgAu crystal.

a = 4.7946 Å, b = 4.7946 Å, c = 4.7946 Å
α = 60.00°, β = 60.00°, γ = 60.00°
With the nearest neighbours (Å) after each atom.
Atoms (fractional coordinates):
1 Al 0.0000 0.0000 0.0000  4 Au 2.94, 4 Al 2.94
2 Al 0.2500 0.2500 0.2500  4 Hg 2.94, 4 Al 2.94
3 Hg 0.5000 0.5000 0.5000  4 Al 2.94, 4 Au 2.94
4 Au 0.7500 0.7500 0.7500  4 Hg 2.94, 4 Al 2.94

Summary:
E above lowest polymorph in eV per atom: 0.242
Formation energy in eV/atom: 0.1307
Magnetic moment in μB per cell: 0.0

# 6
The following is a DFT calculation (PBE) of a relaxed AlHgAu crystal.

a = 4.3416 Å, b = 4.3416 Å, c = 3.8371 Å
α = 90.00°, β = 90.00°, γ = 120.00°
With the nearest neighbours (Å) after each atom.
Atoms (fractional coordinates):
1 Al 0.0000 0.0000 0.0000  3 Au 2.57
2 Hg 0.3333 0.6667 0.5808  3 Al 2.98, 6 Au 3.00-3.33
3 Au 0.6667 0.3333 0.1526  3 Al 2.57

Summary:
E above lowest polymorph in eV per atom: 0.079
Formation energy in eV/atom: -0.0303
Magnetic moment in μB per cell: 0.0

# 7
The following is a DFT calculation (PBE) of a relaxed AlHgAu2 crystal.

a = 5.6803 Å, b = 5.6803 Å, c = 5.6803 Å
α = 149.93°, β = 121.05°, γ = 67.59°
With the nearest neighbours (Å) after each atom.
Atoms (fractional coordinates):
1 Al 0.0000 0.0000 0.0000  4 Au 2.56
2 Hg 0.5000 0.5000 0.0000  2 Hg 2.95, 4 Au 3.02, 4 Al 3.16
3 Au 0.2212 0.7212 0.5000  2 Al 2.56
4 Au 0.7788 0.2788 0.5000  2 Al 2.56

Summary:
E above lowest polymorph in eV per atom: 0.102
Formation energy in eV/atom: -0.0714
Magnetic moment in μB per cell: 0.0

# 8
The following is a DFT calculation (PBE) of a relaxed AlHg2Au crystal.

a = 3.3113 Å, b = 5.2774 Å, c = 4.8415 Å
α = 90.00°, β = 95.41°, γ = 90.00°
With the nearest neighbours (Å) after each atom.
Atoms (fractional coordinates):
1 Al 0.0000 0.0000 0.0000  4 Au 2.80-3.06, 4 Hg 2.99
2 Hg 0.2517 0.5000 0.2485  4 Hg 2.80-3.08, 2 Al 2.99, 2 Au 2.99
3 Hg 0.7483 0.5000 0.7515  4 Hg 2.80-3.08, 2 Al 2.99, 2 Au 2.99
4 Au 0.5000 0.0000 0.5000  4 Al 2.80-3.06, 4 Hg 2.99

Summary:
Formation energy in eV/atom: 0.0714
Magnetic moment in μB per cell: 0.0

Repeat the third record exactly.
The following is a DFT calculation (PBE) of a relaxed AlHgAu2 crystal.

a = 3.1387 Å, b = 4.6115 Å, c = 5.2774 Å
α = 90.00°, β = 90.00°, γ = 90.00°
With the nearest neighbours (Å) after each atom.
Atoms (fractional coordinates):
1 Al 0.0000 0.0000 0.0000  4 Au 2.79, 4 Hg 3.07
2 Hg 0.5000 0.0000 0.5000  4 Au 2.79, 4 Al 3.07
3 Au 0.0000 0.5000 0.5000  4 Hg 2.79, 4 Au 3.07
4 Au 0.5000 0.5000 0.0000  4 Al 2.79, 4 Au 3.07

Summary:
E above lowest polymorph in eV per atom: 0.206
Formation energy in eV/atom: 0.0327
Magnetic moment in μB per cell: 0.0